Below is a relaxed structure of Pr2Ga6Rh, with properties calculated at the GGA-PBE level.

a b c (Å): 5.612 6.075 6.075
angles (deg): 60.01 90.00 90.00
Fractional coordinates of all 9 atoms:
Ga (0.685, 0.653, 0.174)
Ga (0.685, 0.174, 0.653)
Ga (0.315, 0.347, 0.826)
Ga (0.685, 0.174, 0.174)
Ga (0.315, 0.826, 0.347)
Ga (0.315, 0.826, 0.826)
Rh (0.000, 0.000, 0.000)
Pr (0.816, 0.667, 0.667)
Pr (0.184, 0.333, 0.333)

Results
- Energy above the lowest structure with this stoichiometry: 73 meV/atom

***

Below is a relaxed structure of PrGa12Rh6, with properties calculated at the GGA-PBE level.

a b c (Å): 7.180 7.180 7.180
angles (deg): 104.94 104.94 104.94
Fractional coordinates of all 19 atoms:
Rh (0.696, 0.275, 0.275)
Rh (0.275, 0.696, 0.275)
Rh (0.275, 0.275, 0.696)
Rh (0.304, 0.725, 0.725)
Rh (0.725, 0.304, 0.725)
Rh (0.725, 0.725, 0.304)
Ga (0.593, 0.866, 0.593)
Ga (0.885, 0.500, 0.115)
Ga (0.500, 0.115, 0.885)
Ga (0.593, 0.593, 0.866)
Ga (0.885, 0.115, 0.500)
Ga (0.407, 0.407, 0.134)
Ga (0.115, 0.885, 0.500)
Ga (0.866, 0.593, 0.593)
Ga (0.134, 0.407, 0.407)
Ga (0.115, 0.500, 0.885)
Ga (0.500, 0.885, 0.115)
Ga (0.407, 0.134, 0.407)
Pr (0.000, 0.000, 0.000)

***

Below is a relaxed structure of PrGaRh, with properties calculated at the GGA-PBE level.

a b c (Å): 3.349 3.349 5.943
angles (deg): 106.36 106.36 90.00
Fractional coordinates of all 3 atoms:
Rh (0.314, 0.314, 0.627)
Pr (0.622, 0.622, 0.244)
Ga (0.914, 0.914, 0.828)

***

Below is a relaxed structure of PrGa4Rh2, with properties calculated at the GGA-PBE level.

a b c (Å): 4.392 6.579 17.317
angles (deg): 90.00 90.00 90.00
Fractional coordinates of all 28 atoms:
Pr (0.250, 0.509, 0.861)
Pr (0.750, 0.009, 0.639)
Pr (0.750, 0.491, 0.139)
Pr (0.250, 0.991, 0.361)
Rh (0.250, 0.755, 0.539)
Rh (0.750, 0.991, 0.213)
Rh (0.250, 0.009, 0.787)
Rh (0.750, 0.255, 0.961)
Rh (0.750, 0.245, 0.461)
Rh (0.750, 0.509, 0.713)
Rh (0.250, 0.745, 0.039)
Rh (0.250, 0.491, 0.287)
Ga (0.250, 0.710, 0.690)
Ga (0.250, 0.335, 0.034)
Ga (0.750, 0.694, 0.312)
Ga (0.750, 0.991, 0.068)
Ga (0.250, 0.009, 0.932)
Ga (0.250, 0.790, 0.190)
Ga (0.750, 0.806, 0.812)
Ga (0.250, 0.306, 0.688)
Ga (0.750, 0.665, 0.966)
Ga (0.750, 0.509, 0.568)
Ga (0.250, 0.194, 0.188)
Ga (0.750, 0.210, 0.810)
Ga (0.750, 0.835, 0.466)
Ga (0.250, 0.491, 0.432)
Ga (0.750, 0.290, 0.310)
Ga (0.250, 0.165, 0.534)

Results
- Energy above the lowest structure with this stoichiometry: 0 meV/atom

***

Below is a relaxed structure of PrGa4Rh3, with properties calculated at the GGA-PBE level.

a b c (Å): 4.189 4.189 8.377
angles (deg): 90.00 90.00 90.00
Fractional coordinates of all 8 atoms:
Pr (0.000, 0.000, 0.500)
Ga (0.000, 0.500, 0.174)
Ga (0.500, 0.000, 0.826)
Ga (0.000, 0.500, 0.826)
Ga (0.500, 0.000, 0.174)
Rh (0.500, 0.500, 0.657)
Rh (0.000, 0.000, 0.000)
Rh (0.500, 0.500, 0.343)

***

Below is a relaxed structure of PrGa4Rh, with properties calculated at the GGA-PBE level.

a b c (Å): 4.669 4.669 7.118
angles (deg): 90.00 90.00 90.00
Fractional coordinates of all 6 atoms:
Rh (0.500, 0.500, 0.500)
Ga (0.000, 0.500, 0.500)
Ga (0.500, 0.000, 0.500)
Ga (0.500, 0.500, 0.161)
Ga (0.500, 0.500, 0.839)
Pr (0.000, 0.000, 0.000)

***

no.,formation energy (eV per formula unit),magnetic moment (μB/atom)
1,-5.50,0.00
2,-10.43,0.00
3,-1.70,0.00
4,-4.73,0.00
5,-4.84,0.00
6,-0.86,0.00